Density functional theory data (PBE) for a relaxed CrCo2Ir crystal.

Values from the calculation:
As for the formation energy: 17.1 kJ per mole of atoms. For the offset from the most stable computed form, the calculation gives 257 meV per atom.

a = 4.1225 Å, b = 4.1225 Å, c = 4.1225 Å
α = 60.00°, β = 60.00°, γ = 60.00°
With the nearest neighbours (Å) after each atom.
Sites, in units of the cell vectors:
Cr1 0.5000 0.5000 0.5000  4 Ir 2.52, 4 Co 2.52
Ir1 0.2500 0.2500 0.2500  4 Co 2.52, 4 Cr 2.52
Co1 0.7500 0.7500 0.7500  4 Cr 2.52, 4 Co 2.52
Co2 0.0000 0.0000 0.0000  4 Co 2.52, 4 Ir 2.52



Density functional theory data (PBE) for a relaxed SrCuRu2 crystal.

Values from the calculation:
As for the formation energy: 56.1 kJ per mole of atoms. For the offset from the most stable computed form, the calculation gives 425 meV per atom.

a = 5.3205 Å, b = 5.3205 Å, c = 5.0373 Å
α = 73.56°, β = 73.56°, γ = 31.92°
With the nearest neighbours (Å) after each atom.
Sites, in units of the cell vectors:
Sr1 0.7500 0.7500 0.7500  4 Cu 2.91, 2 Sr 2.93, 6 Ru 3.13-3.20
Ru1 0.5305 0.5305 0.4297  2 Ru 2.54, 2 Cu 2.61
Ru2 0.9695 0.9695 0.0703  2 Ru 2.54, 2 Cu 2.61
Cu1 0.2500 0.2500 0.2500  4 Ru 2.61, 4 Sr 2.91



Density functional theory data (PBE) for a relaxed Si2AsCl crystal.

Values from the calculation:
The uncorrected formation energy is 43 kJ per mole of atoms. For the offset from the most stable computed form, the calculation gives 496 meV per atom.

a = 4.6734 Å, b = 4.6734 Å, c = 4.6734 Å
α = 60.00°, β = 60.00°, γ = 60.00°
With the nearest neighbours (Å) after each atom.
Sites, in units of the cell vectors:
Si1 0.7500 0.7500 0.7500  4 As 2.86, 4 Cl 2.86
Si2 0.2500 0.2500 0.2500  4 Cl 2.86, 4 As 2.86
Cl1 0.0000 0.0000 0.0000  8 Si 2.86
As1 0.5000 0.5000 0.5000  8 Si 2.86



Density functional theory data (PBE) for a relaxed Mn2TcMoH crystal.

Values from the calculation:
For the offset from the most stable computed form, the calculation gives 0 meV per atom.

a = 3.7480 Å, b = 3.7480 Å, c = 3.9352 Å
α = 90.00°, β = 90.00°, γ = 90.00°
With the nearest neighbours (Å) after each atom.
Sites, in units of the cell vectors:
Mn1 0.5000 0.0000 0.0000  2 H 1.87
Mn2 0.0000 0.5000 0.0000  2 H 1.87
H1 0.0000 0.0000 0.0000  4 Mn 1.87, 2 Mo 1.97
Mo1 0.0000 0.0000 0.5000  2 H 1.97
Tc1 0.5000 0.5000 0.5000  4 Mo 2.65, 8 Mn 2.72



Density functional theory data (PBE) for a relaxed MgPtBr2 crystal.

Values from the calculation:
The uncorrected formation energy is -41 kJ per mole of atoms. For the offset from the most stable computed form, the calculation gives 238 meV per atom.

a = 7.7910 Å, b = 7.7910 Å, c = 7.7910 Å
α = 153.55°, β = 150.32°, γ = 40.17°
With the nearest neighbours (Å) after each atom.
Sites, in units of the cell vectors:
Mg1 0.4247 0.4247 0.0000  2 Pt 2.69, 6 Br 2.95-2.97
Br1 0.7766 0.2766 0.5000  4 Pt 2.68, 2 Mg 2.95
Br2 0.0120 0.0120 0.0000  4 Mg 2.97
Pt1 0.2867 0.7867 0.5000  4 Br 2.68, 2 Mg 2.69



Density functional theory data (PBE) for a relaxed MoAsPb2 crystal.

Values from the calculation:
As for the formation energy: 10.8 kJ per mole of atoms.

a = 3.3364 Å, b = 3.3364 Å, c = 8.4319 Å
α = 90.00°, β = 90.00°, γ = 90.00°
With the nearest neighbours (Å) after each atom.
Sites, in units of the cell vectors:
Pb1 0.0000 0.0000 0.9439  4 Mo 3.18, 1 As 3.20, 4 Pb 3.34
Pb2 0.5000 0.5000 0.3010  4 As 3.24, 1 Mo 3.29, 4 Pb 3.34
Mo1 0.5000 0.5000 0.6907  4 As 2.59
As1 0.0000 0.0000 0.5643  4 Mo 2.59



Density functional theory data (PBE) for a relaxed CaHfAsSe2 crystal.

Values from the calculation:
The uncorrected formation energy is -88 kJ per mole of atoms. For the offset from the most stable computed form, the calculation gives 0 meV per atom.

a = 5.1743 Å, b = 5.1743 Å, c = 5.1861 Å
α = 90.00°, β = 90.00°, γ = 90.00°
With the nearest neighbours (Å) after each atom.
Sites, in units of the cell vectors:
As1 0.0000 0.0000 0.5000  2 Hf 2.59
Hf1 0.0000 0.0000 0.0000  4 Se 2.59, 2 As 2.59
Ca1 0.5000 0.5000 0.5000  4 As 3.66, 8 Se 3.66
Se1 0.0000 0.5000 0.0000  2 Hf 2.59
Se2 0.5000 0.0000 0.0000  2 Hf 2.59



Density functional theory data (PBE) for a relaxed Sr5CdPt crystal.

Values from the calculation:
As for the formation energy: -34.4 kJ per mole of atoms.

a = 4.6880 Å, b = 8.7646 Å, c = 14.1942 Å
α = 88.07°, β = 90.00°, γ = 90.00°
With the nearest neighbours (Å) after each atom.
Sites, in units of the cell vectors:
Sr1 0.2500 0.8486 0.0711  3 Cd 3.39-3.52
Sr2 0.7500 0.6552 0.2854  2 Pt 3.13
Sr3 0.2500 0.6617 0.5208  3 Pt 3.09-3.16
Sr4 0.2500 0.3448 0.7146  2 Pt 3.13
Sr5 0.7500 0.3383 0.4792  3 Pt 3.09-3.16
Sr6 0.7500 0.6327 0.8646  1 Pt 3.13
Sr7 0.7500 0.1514 0.9289  3 Cd 3.39-3.52
Sr8 0.2500 0.0648 0.3501  1 Pt 3.28, 2 Cd 3.43
Sr9 0.2500 0.3673 0.1354  1 Pt 3.13
Sr10 0.7500 0.9352 0.6499  1 Pt 3.28, 2 Cd 3.43
Pt1 0.2500 0.4394 0.3502  7 Sr 3.09-3.28
Pt2 0.7500 0.5606 0.6498  7 Sr 3.09-3.28
Cd1 0.7500 0.0687 0.1736  7 Sr 3.39-3.54
Cd2 0.2500 0.9313 0.8264  7 Sr 3.39-3.54



Density functional theory data (PBE) for a relaxed AcThP crystal.

Values from the calculation:
As for the formation energy: -73.5 kJ per mole of atoms. For the offset from the most stable computed form, the calculation gives 0 meV per atom.

a = 6.9752 Å, b = 4.0850 Å, c = 4.0850 Å
α = 120.00°, β = 90.00°, γ = 90.00°
With the nearest neighbours (Å) after each atom.
Sites, in units of the cell vectors:
P1 0.0143 0.0000 0.0000  3 Th 2.86, 3 Ac 3.04
Ac1 0.7397 0.6667 0.3333  3 P 3.04
Th1 0.2460 0.3333 0.6667  3 P 2.86



Density functional theory data (PBE) for a relaxed Rb2CrSiW crystal.

Values from the calculation:
The uncorrected formation energy is 174 kJ per mole of atoms.

a = 6.7910 Å, b = 4.7248 Å, c = 6.7910 Å
α = 90.00°, β = 90.00°, γ = 90.00°
With the nearest neighbours (Å) after each atom.
Sites, in units of the cell vectors:
Cr1 0.0000 0.5000 0.0000  2 Si 2.36
Rb1 0.0000 0.0000 0.5000  2 Si 3.40
Rb2 0.5000 0.0000 0.0000  2 Si 3.40
Si1 0.0000 0.0000 0.0000  2 Cr 2.36
W1 0.5000 0.5000 0.5000  8 Rb 4.14



Density functional theory data (PBE) for a relaxed Pr8PdRu3Br4 crystal.

Values from the calculation:
The uncorrected formation energy is -82 kJ per mole of atoms.

a = 8.2721 Å, b = 9.2690 Å, c = 8.2716 Å
α = 116.50°, β = 120.00°, γ = 90.00°
With the nearest neighbours (Å) after each atom.
Sites, in units of the cell vectors:
Pr1 0.7609 0.3020 0.0407  2 Ru 2.82, 1 Pd 2.93
Pr2 0.7202 0.6980 0.9593  2 Ru 2.82, 1 Pd 2.93
Pr3 0.7611 0.3020 0.5222  2 Ru 2.82, 1 Pd 2.93
Pr4 0.2798 0.3020 0.0407  2 Ru 2.82, 1 Pd 2.93
Pr5 0.2663 0.2996 0.5325  3 Ru 2.87
Pr6 0.2391 0.6980 0.9593  2 Ru 2.82, 1 Pd 2.93
Pr7 0.7337 0.7004 0.4675  3 Ru 2.87
Pr8 0.2389 0.6980 0.4778  2 Ru 2.82, 1 Pd 2.93
Ru1 0.5000 0.5000 0.0000  6 Pr 2.82-2.87
Ru2 0.5000 0.5000 0.5000  6 Pr 2.82-2.87
Ru3 0.0000 0.5000 0.5000  6 Pr 2.82-2.87
Pd1 0.0000 0.5000 0.0000  6 Pr 2.93
Br1 0.5000 0.0000 0.0000  6 Pr 3.32
Br2 0.0000 0.0000 0.0000  6 Pr 3.37-3.42
Br3 0.0000 0.0000 0.5000  6 Pr 3.37-3.42
Br4 0.5000 0.0000 0.5000  6 Pr 3.37-3.42



Density functional theory data (PBE) for a relaxed Ti2ZnCl crystal.

Values from the calculation:
The uncorrected formation energy is 18 kJ per mole of atoms. For the offset from the most stable computed form, the calculation gives 105 meV per atom.

a = 3.9529 Å, b = 3.9529 Å, c = 9.6826 Å
α = 78.22°, β = 78.22°, γ = 90.00°
With the nearest neighbours (Å) after each atom.
Sites, in units of the cell vectors:
Cl1 0.2500 0.7500 0.5000  4 Ti 2.70, 4 Zn 2.80
Cl2 0.5000 0.5000 0.0000  4 Ti 2.70, 4 Zn 2.80
Zn1 0.0000 0.0000 0.0000  4 Ti 2.71, 4 Cl 2.80
Zn2 0.7500 0.2500 0.5000  4 Ti 2.71, 4 Cl 2.80
Ti1 0.6225 0.1250 0.2500  2 Cl 2.70, 2 Zn 2.71, 4 Ti 2.78-2.81
Ti2 0.3750 0.3775 0.7500  2 Cl 2.70, 2 Zn 2.71, 4 Ti 2.78-2.81
Ti3 0.8750 0.8725 0.7500  2 Cl 2.70, 2 Zn 2.71, 4 Ti 2.78-2.81
Ti4 0.1275 0.6250 0.2500  2 Cl 2.70, 2 Zn 2.71, 4 Ti 2.78-2.81